Computed, not measured: MnCrRh3 after structural relaxation at the PBE level of DFT.

Geometry as POSCAR:
```
MnCrRh3
1.0
4.4077 0.0000 0.0000
0.0000 4.4077 0.0000
0.0000 0.0000 4.4077
Mn Cr Rh
1 1 3
Direct
0.0000 0.0000 0.0000 Mn
0.5000 0.5000 0.5000 Cr
0.0000 0.5000 0.5000 Rh
0.5000 0.0000 0.5000 Rh
0.5000 0.5000 0.0000 Rh
```

Output
- N(E_F) (states/eV/atom) = 1.52
- magnetic moment (μB/cell) = 0.5
- calculated formation energy (eV/atom) = 1.2767